(1)
Entry from the Alexandria database: an optimized crystal structure of KNbHg (PBE).

a b c (Å): 5.170 10.538 3.290
angles (deg): 93.39 89.99 89.99
Atoms (fractional coordinates):
Nb 0.696 0.234 0.397
K 0.197 0.505 0.260
Hg 0.196 0.195 0.856
K 0.196 0.886 0.328
Hg 0.696 0.738 0.800
Nb 0.696 0.051 0.868

Output
energy relative to the elements = 438 meV per atom
calculated volume = 179 Å³ per cell
SG = Pm
relative energy among the computed polymorphs = 243.8 meV per atom



(2)
Entry from the Alexandria database: an optimized crystal structure of KNbHg (PBE).

a b c (Å): 5.536 5.536 2.869
angles (deg): 90.00 90.00 120.00
Last column: magnetic moment on the atom in μB.
Atoms (fractional coordinates):
Hg 0.333 0.667 0.000  0.00
K 0.000 0.000 0.500  0.03
Nb 0.667 0.333 0.000  0.80

Output
energy relative to the elements = 976 meV per atom
calculated volume = 76 Å³ per cell
SG = P-6m2
relative energy among the computed polymorphs = 782.3 meV per atom